Entry from Alexandria: a relaxed SrInPb2Se4 crystal (PBE-GGA).

total energy	-65.428	eV per cell
SG	Imma, No. 74

Unit cell a=8.7319 b=8.7319 c=8.7432 alpha=120.04 beta=120.04 gamma=90.13
Last column: nearest neighbours and their distance in Å.
Atoms (fractional coordinates):
Se (0.2508, 0.2496, 0.4914)  2 In 3.03, 3 Pb 3.08-3.14, 1 Sr 3.10
Se (0.2504, 0.2492, 0.0086)  2 In 3.03, 3 Pb 3.08-3.14, 1 Sr 3.10
Se (0.7549, 0.2451, 0.0000)  1 In 3.03, 3 Pb 3.08-3.15, 2 Sr 3.08-3.09
Se (0.2549, 0.7451, 0.5000)  1 In 3.03, 3 Pb 3.08-3.15, 2 Sr 3.08-3.09
Se (0.2451, 0.7549, 0.0000)  1 In 3.03, 3 Pb 3.08-3.15, 2 Sr 3.08-3.09
Se (0.7450, 0.2549, 0.5000)  1 In 3.03, 3 Pb 3.08-3.15, 2 Sr 3.08-3.09
Se (0.7496, 0.7508, 0.9914)  2 In 3.03, 3 Pb 3.08-3.14, 1 Sr 3.10
Se (0.7492, 0.7504, 0.5086)  2 In 3.03, 3 Pb 3.08-3.14, 1 Sr 3.10
Pb (0.5000, 0.5000, 0.0000)  6 Se 3.14-3.15
Pb (0.5000, 0.0000, 0.5000)  6 Se 3.08
Pb (0.0000, 0.0000, 0.5000)  6 Se 3.14-3.15
Pb (0.5000, 0.0000, 0.0000)  6 Se 3.08
In (0.5000, 0.5000, 0.5000)  6 Se 3.03
In (0.0000, 0.0000, 0.0000)  6 Se 3.03
Sr (0.0000, 0.5000, 0.5000)  6 Se 3.08-3.10
Sr (0.0000, 0.5000, 0.0000)  6 Se 3.08-3.10

***

Entry from Alexandria: a relaxed GeSeSCl2 crystal (PBE-GGA).

total energy	-14.681	eV per cell
relative energy among the computed polymorphs	0.000	eV per atom
SG	P4/mmm, No. 123

Unit cell a=4.7944 b=4.7944 c=5.1586 alpha=90.00 beta=90.00 gamma=90.00
Last column: nearest neighbours and their distance in Å.
Atoms (fractional coordinates):
Se (0.5000, 0.5000, 0.5000)  4 S 3.39, 8 Cl 3.52
Ge (0.0000, 0.0000, 0.0000)  4 Cl 2.40, 2 S 2.58
Cl (0.0000, 0.5000, 0.0000)  2 Ge 2.40
Cl (0.5000, 0.0000, 0.0000)  2 Ge 2.40
S (0.0000, 0.0000, 0.5000)  2 Ge 2.58

***

Entry from Alexandria: a relaxed Ta2CrMo crystal (PBE-GGA).

total energy	-44.074	eV per cell
energy relative to the elements	21.5	meV per atom
SG	C2/m, No. 12

Unit cell a=5.1680 b=5.1680 c=4.6191 alpha=63.32 beta=63.32 gamma=36.17
Last column: nearest neighbours and their distance in Å.
Atoms (fractional coordinates):
Ta (0.4951, 0.4951, 0.5049)  2 Cr 2.66, 2 Mo 2.73, 4 Ta 2.81
Ta (0.0049, 0.0049, 0.9951)  2 Cr 2.66, 2 Mo 2.73, 4 Ta 2.81
Mo (0.2500, 0.2500, 0.2500)  4 Ta 2.73, 4 Cr 2.81
Cr (0.7500, 0.7500, 0.7500)  4 Ta 2.66, 4 Mo 2.81